<i>
# PBE NiAgHgB, optimized geometry
# volume = 14.60 Å³/atom
data_NiAgHgB
_chemical_formula_sum 'Ni1 Ag1 Hg1 B1'
_cell_length_a 4.355
_cell_length_b 4.355
_cell_length_c 4.355
_cell_angle_alpha 60.00
_cell_angle_beta 60.00
_cell_angle_gamma 60.00
_symmetry_space_group_name_H-M 'P 1'
_symmetry_Int_Tables_number 1
_symmetry_space_group_name_Hall 'P 1'
loop_
_atom_site_label
_atom_site_fract_x
_atom_site_fract_y
_atom_site_fract_z
Ni1 0.000 0.000 0.000
Ag1 0.250 0.250 0.250
Hg1 0.500 0.500 0.500
B1 0.750 0.750 0.750

=====

<ii>
# PBE NiAgHgB, optimized geometry
# volume = 14.43 Å³/atom
data_NiAgHgB
_chemical_formula_sum 'Ni1 Ag1 Hg1 B1'
_cell_length_a 4.338
_cell_length_b 4.338
_cell_length_c 4.338
_cell_angle_alpha 60.00
_cell_angle_beta 60.00
_cell_angle_gamma 60.00
_symmetry_space_group_name_H-M 'P 1'
_symmetry_Int_Tables_number 1
_symmetry_space_group_name_Hall 'P 1'
loop_
_atom_site_label
_atom_site_fract_x
_atom_site_fract_y
_atom_site_fract_z
Ni1 0.000 0.000 0.000
Ag1 0.750 0.750 0.750
Hg1 0.250 0.250 0.250
B1 0.500 0.500 0.500

=====

Which of the structures shown above is the most stable? The most stable is <ii>.